Material: MgGaRhO2
Method: DFT, GGA-PBE
State: optimized geometry

V ... 14.3 Å³ per atom
Crystal system ... tetragonal

extended XYZ file:
```
5
Lattice="-3.6304 1.1372 -0.4293 -1.2244 -2.3701 4.0755 0.7426 3.1454 2.0523" Properties=species:S:1:pos:R:3 pbc="T T T"
Mg -2.0561 0.9562 2.8493
Rh -0.6122 -1.1851 2.0378
O 0.3713 1.5727 1.0262
O -1.8152 0.5686 -0.2147
Ga 0.0000 0.0000 0.0000
```

Material: MgGa2RhO
Method: DFT, GGA-PBE
State: optimized geometry

V ... 18.8 Å³ per atom
Crystal system ... tetragonal

extended XYZ file:
```
5
Lattice="5.2030 0.0000 0.0000 0.0000 3.4632 0.0000 0.0000 0.0000 5.2030" Properties=species:S:1:pos:R:3 pbc="T T T"
Mg 0.0000 0.0000 0.0000
Rh 2.6015 1.7316 2.6015
O 0.0000 1.7316 0.0000
Ga 0.0000 0.0000 2.6015
Ga 2.6015 0.0000 0.0000
```

Material: Mg2GaRuO6
Method: DFT, GGA-PBE
State: optimized geometry

V ... 13.1 Å³ per atom
Crystal system ... tetragonal

extended XYZ file:
```
10
Lattice="-1.1986 0.4224 4.6664 4.6852 -1.8097 1.3673 1.8655 4.8594 0.0393" Properties=species:S:1:pos:R:3 pbc="T T T"
Mg 1.2249 -0.5109 5.0350
Mg -0.1850 2.8236 4.3710
Ga -0.6893 0.2429 2.6834
Ru 2.5658 1.7749 3.4655
O 0.7609 1.0843 3.8296
O 1.6847 3.4907 3.8491
O 2.9981 1.6226 1.7828
O -0.2457 0.0866 0.9566
O 4.0048 2.5945 4.5261
O 3.0810 0.1881 4.5067
```

Material: MgGaRuO6
Method: DFT, GGA-PBE
State: optimized geometry

V ... 10.9 Å³ per atom
Crystal system ... tetragonal

extended XYZ file:
```
18
Lattice="-4.2023 1.7419 -0.9282 -1.5873 -1.6847 4.0246 2.2948 7.7460 4.1475" Properties=species:S:1:pos:R:3 pbc="T T T"
Mg -1.7465 3.9046 3.6236
Mg 0.0008 0.0027 0.0014
Ga -0.9855 6.4735 4.9990
Ga 0.7621 2.5723 1.3773
Ru -2.5103 1.3265 2.2432
Ru 1.5319 5.1709 2.7687
O -0.9180 2.8889 5.1914
O -2.5452 5.0210 2.1096
O -1.7854 0.0709 0.9917
O -3.9727 0.0925 2.1616
O -1.7453 0.3667 3.6913
O -3.2571 2.3477 0.8279
O -0.1325 5.2181 3.6801
O -2.5751 5.2423 4.9865
O -1.7933 7.4201 3.4710
O -0.2254 5.3656 6.4407
O -3.3159 2.5315 3.5022
O -0.9975 2.5086 2.2622
```

Material: MgGa2SO
Method: DFT, GGA-PBE
State: optimized geometry

V ... 18.9 Å³ per atom
Crystal system ... tetragonal

extended XYZ file:
```
5
Lattice="-0.4142 4.8595 1.6255 -1.2171 -1.1569 3.1485 4.8148 -0.1890 1.7919" Properties=species:S:1:pos:R:3 pbc="T T T"
O -0.6086 -0.5785 1.5742
S 0.0000 0.0000 0.0000
Mg 1.5917 1.7568 3.2829
Ga 2.4074 -0.0945 0.8959
Ga -0.2071 2.4298 0.8128
```

Material: MgGa2SbO8
Method: DFT, GGA-PBE
State: optimized geometry

V ... 12.0 Å³ per atom
Crystal system ... tetragonal

extended XYZ file:
```
12
Lattice="-0.5045 4.8958 -2.9215 -4.5730 -0.6540 3.3791 4.7451 0.1506 3.1968" Properties=species:S:1:pos:R:3 pbc="T T T"
Mg 0.0000 0.0000 0.0000
Ga 0.8509 3.5837 0.2520
Ga -2.5388 2.1209 0.2288
Sb -1.1833 0.8088 3.4023
O 1.0807 1.7438 0.1052
O -1.5635 1.2322 1.4964
O 3.1109 1.5899 1.9885
O 2.7079 3.6802 0.2108
O -2.6066 3.9439 0.3701
O -0.2255 4.5519 -0.9156
O -0.1594 4.3587 1.6077
O 0.3944 2.0190 3.4536
```

Record order is preserved below.
Formation energy from raw total energies: -0.32 0.09 -1.52 -1.35 0.04 -1.17 eV/atom